Crystalline CdAs2SBr at its relaxed geometry. Source: Alexandria via LeMat-Bulk, functional PBE. Values from VASP.

Output
N(E_F) (states/eV/atom): 0.936
Energy relative to the elements, uncorrected (kcal/mol of atoms): 22.73
Volume (Å³/cell): 144.18
Crystal system: tetragonal
SG: P4/mmm (123)

The structure in Quantum ESPRESSO input format:
```
&SYSTEM
  ibrav = 0, nat = 5, ntyp = 4
/
ATOMIC_SPECIES
Br 79.90 Br.upf
As 74.92 As.upf
S 32.06 S.upf
Cd 112.41 Cd.upf
CELL_PARAMETERS angstrom
-1.6431 4.2453 -2.6769
-1.4132 -3.0941 -4.0395
-4.7145 -0.5291 2.0547
ATOMIC_POSITIONS crystal
Br 0.0000 0.0000 0.5000
As 0.5000 0.0000 0.0000
As 0.0000 0.5000 0.0000
S 0.5000 0.5000 0.5000
Cd 0.0000 0.0000 0.0000
```